The following is a DFT calculation (PBE-GGA) of crystalline Na2Pm3TmSe6 at its relaxed geometry.

As for the raw formation energy: -166 kJ per mole of atoms. As for the space group: C2/m, No. 12. For the density of states at the Fermi level, the calculation gives 0.2829 states/eV per atom.

a = 7.217 Å, b = 7.217 Å, c = 7.240 Å
α = 99.53°, β = 99.53°, γ = 119.94°
Positions (direct):
Na: 0.335 0.665 0.000
Na: 0.665 0.335 0.000
Pm: 0.171 0.829 0.500
Pm: 0.829 0.171 0.500
Pm: 0.500 0.500 0.500
Tm: 0.000 0.000 0.000
Se: 0.919 0.595 0.757
Se: 0.759 0.759 0.248
Se: 0.081 0.405 0.243
Se: 0.595 0.919 0.757
Se: 0.241 0.241 0.752
Se: 0.405 0.081 0.243


The following is a DFT calculation (PBE-GGA) of crystalline BaCa2Tb at its relaxed geometry.

As for the formation energy: 0.14 eV/atom. The value obtained for the offset from the most stable computed form is 27 meV/atom. As for the space group: R-3m, No. 166. For the density of states at the Fermi level, the calculation gives 1.6729 states/eV per atom.

a = 3.886 Å, b = 3.886 Å, c = 13.131 Å
α = 81.49°, β = 81.49°, γ = 60.00°
Positions (direct):
Ca: 0.744 0.744 0.769
Ca: 0.256 0.256 0.231
Tb: 0.000 0.000 0.000
Ba: 0.500 0.500 0.500


The following is a DFT calculation (PBE-GGA) of crystalline ZrSc5Rh4 at its relaxed geometry.

As for the formation energy: -0.80 eV/atom. As for the space group: P4/mmm, No. 123. For the density of states at the Fermi level, the calculation gives 0.8095 states/eV per atom.

a = 3.227 Å, b = 3.227 Å, c = 17.406 Å
α = 90.00°, β = 90.00°, γ = 90.00°
Positions (direct):
Zr: 0.000 0.000 0.000
Sc: 0.500 0.500 0.128
Sc: 0.500 0.500 0.313
Sc: 0.500 0.500 0.500
Sc: 0.500 0.500 0.687
Sc: 0.500 0.500 0.872
Rh: 0.000 0.000 0.221
Rh: 0.000 0.000 0.407
Rh: 0.000 0.000 0.593
Rh: 0.000 0.000 0.779


The following is a DFT calculation (PBE-GGA) of crystalline Cu2HgP at its relaxed geometry.

As for the formation energy: 0.16 eV/atom. As for the space group: Pm, No. 6. For the density of states at the Fermi level, the calculation gives 0.1763 states/eV per atom.

a = 4.055 Å, b = 3.226 Å, c = 5.630 Å
α = 106.94°, β = 90.00°, γ = 90.00°
Positions (direct):
Cu: 0.000 0.838 0.051
Cu: 0.500 0.380 0.134
Hg: 0.000 0.553 0.480
P: 0.500 0.728 0.835


The following is a DFT calculation (PBE-GGA) of crystalline ErCuS2 at its relaxed geometry.

As for the raw formation energy: -127 kJ per mole of atoms. As for the space group: C2, No. 5. For the density of states at the Fermi level, the calculation gives 0.0000 states/eV per atom.

a = 4.009 Å, b = 7.035 Å, c = 7.136 Å
α = 74.57°, β = 73.68°, γ = 90.00°
Positions (direct):
Er: 0.325 0.192 0.531
Er: 0.825 0.692 0.532
Cu: 0.330 0.693 0.031
Cu: 0.329 0.191 0.032
S: 0.435 0.581 0.317
S: 0.216 0.804 0.747
S: 0.931 0.081 0.317
S: 0.720 0.304 0.746


The following is a DFT calculation (PBE-GGA) of crystalline La2Pm5PrDy at its relaxed geometry.

As for the formation energy: 0.24 eV/atom. As for the space group: P4/mbm, No. 127. For the density of states at the Fermi level, the calculation gives 1.6777 states/eV per atom.

a = 8.199 Å, b = 8.815 Å, c = 8.815 Å
α = 90.00°, β = 90.00°, γ = 90.00°
Positions (direct):
La: 0.500 0.619 0.119
La: 0.500 0.119 0.381
La: 0.500 0.881 0.619
La: 0.500 0.381 0.881
Pm: 0.500 0.500 0.500
Pm: 0.500 0.000 0.000
Pm: 0.219 0.216 0.716
Pm: 0.219 0.784 0.284
Pm: 0.219 0.284 0.216
Pm: 0.219 0.716 0.784
Pm: 0.781 0.216 0.716
Pm: 0.781 0.716 0.784
Pm: 0.781 0.784 0.284
Pm: 0.781 0.284 0.216
Pr: 0.000 0.500 0.500
Pr: 0.000 0.000 0.000
Dy: 0.000 0.000 0.500
Dy: 0.000 0.500 0.000


The following is a DFT calculation (PBE-GGA) of crystalline Cs2Tl4Cd3Hg at its relaxed geometry.

As for the formation energy: -0.06 eV/atom. As for the space group: P-4m2, No. 115. For the density of states at the Fermi level, the calculation gives 0.7257 states/eV per atom.

a = 5.372 Å, b = 5.372 Å, c = 12.622 Å
α = 90.00°, β = 90.00°, γ = 90.00°
Positions (direct):
Cs: 0.500 0.000 0.253
Cs: 0.000 0.500 0.747
Tl: 0.500 0.500 0.000
Tl: 0.000 0.000 0.000
Tl: 0.500 0.000 0.621
Tl: 0.000 0.500 0.379
Cd: 0.000 0.000 0.500
Cd: 0.500 0.000 0.874
Cd: 0.000 0.500 0.126
Hg: 0.500 0.500 0.500


The following is a DFT calculation (PBE-GGA) of crystalline CaNbCu at its relaxed geometry.

As for the formation energy: 0.25 eV/atom. The value obtained for the offset from the most stable computed form is 94 meV/atom. As for the space group: P-1, No. 2. For the density of states at the Fermi level, the calculation gives 0.7761 states/eV per atom.

a = 7.673 Å, b = 3.364 Å, c = 5.209 Å
α = 106.47°, β = 79.74°, γ = 103.20°
Positions (direct):
Ca: 0.419 0.955 0.931
Ca: 0.098 0.080 0.541
Nb: 0.721 0.380 0.467
Nb: 0.796 0.654 0.007
Cu: 0.066 0.361 0.103
Cu: 0.452 0.674 0.370


The following is a DFT calculation (PBE-GGA) of crystalline Mg2NiH3 at its relaxed geometry.

The electronic total energy comes out at -19.46 eV per formula unit. As for the space group: C2/c, No. 15. For the density of states at the Fermi level, the calculation gives 0.2076 states/eV per atom.

a = 4.317 Å, b = 6.628 Å, c = 5.034 Å
α = 108.78°, β = 115.40°, γ = 90.00°
Positions (direct):
Mg: 0.646 0.583 0.324
Mg: 0.678 0.083 0.324
Mg: 0.322 0.917 0.676
Mg: 0.354 0.417 0.676
Ni: 0.944 0.750 0.000
Ni: 0.056 0.250 0.000
H: 0.404 0.250 0.000
H: 0.596 0.750 0.000
H: 0.334 0.820 0.275
H: 0.060 0.680 0.725
H: 0.940 0.320 0.275
H: 0.666 0.180 0.725


The following is a DFT calculation (PBE-GGA) of crystalline TaAl2Pt at its relaxed geometry.

As for the formation energy: -0.48 eV/atom. As for the space group: I-4m2, No. 119. For the density of states at the Fermi level, the calculation gives 0.6727 states/eV per atom.

a = 5.069 Å, b = 5.069 Å, c = 5.069 Å
α = 135.35°, β = 135.35°, γ = 64.99°
Positions (direct):
Al: 0.000 0.000 0.000
Al: 0.250 0.750 0.500
Pt: 0.500 0.500 0.000
Ta: 0.750 0.250 0.500


The following is a DFT calculation (PBE-GGA) of crystalline Ta2MoSe at its relaxed geometry.

As for the raw formation energy: 4 kJ per mole of atoms. As for the space group: Pm, No. 6. For the density of states at the Fermi level, the calculation gives 0.4184 states/eV per atom.

a = 4.627 Å, b = 3.082 Å, c = 5.096 Å
α = 74.84°, β = 90.00°, γ = 90.00°
Positions (direct):
Mo: 0.000 0.587 0.485
Se: 0.500 0.567 0.737
Ta: 0.000 0.066 0.000
Ta: 0.500 0.279 0.278


The following is a DFT calculation (PBE-GGA) of crystalline La2ThPaP4 at its relaxed geometry.

As for the formation energy: -1.51 eV/atom. As for the space group: P2/m, No. 10. For the density of states at the Fermi level, the calculation gives 0.7164 states/eV per atom.

a = 4.146 Å, b = 7.179 Å, c = 7.224 Å
α = 109.31°, β = 90.00°, γ = 90.00°
Positions (direct):
La: 0.500 0.000 0.500
La: 0.000 0.500 0.500
Th: 0.000 0.000 0.000
Pa: 0.500 0.500 0.000
P: 0.500 0.254 0.235
P: 0.500 0.746 0.765
P: 0.000 0.264 0.769
P: 0.000 0.736 0.231


The following is a DFT calculation (PBE-GGA) of crystalline Sm4Dy2Tl3O2 at its relaxed geometry.

As for the raw formation energy: -116 kJ per mole of atoms. As for the space group: I4/mmm, No. 139. For the density of states at the Fermi level, the calculation gives 0.6006 states/eV per atom.

a = 4.786 Å, b = 4.786 Å, c = 13.000 Å
α = 100.61°, β = 100.61°, γ = 90.00°
Positions (direct):
Sm: 0.414 0.914 0.827
Sm: 0.914 0.414 0.827
Sm: 0.086 0.586 0.173
Sm: 0.586 0.086 0.173
Dy: 0.303 0.303 0.606
Dy: 0.697 0.697 0.394
Tl: 0.000 0.000 0.000
Tl: 0.178 0.178 0.356
Tl: 0.822 0.822 0.644
O: 0.395 0.395 0.789
O: 0.605 0.605 0.211


The following is a DFT calculation (PBE-GGA) of crystalline Pm8TmSc2 at its relaxed geometry.

As for the formation energy: 0.12 eV/atom. The value obtained for the offset from the most stable computed form is 0 meV/atom. As for the space group: Immm, No. 71. For the density of states at the Fermi level, the calculation gives 1.7089 states/eV per atom.

a = 5.490 Å, b = 8.417 Å, c = 9.271 Å
α = 117.00°, β = 107.19°, γ = 90.00°
Positions (direct):
Pm: 0.643 0.846 0.287
Pm: 0.357 0.559 0.713
Pm: 0.160 0.159 0.319
Pm: 0.000 0.302 0.000
Pm: 0.840 0.841 0.681
Pm: 0.643 0.441 0.287
Pm: 0.357 0.154 0.713
Pm: 0.000 0.698 0.000
Tm: 0.500 0.000 0.000
Sc: 0.202 0.702 0.404
Sc: 0.798 0.298 0.596


The following is a DFT calculation (PBE-GGA) of crystalline Ce2Ho3PaAs6 at its relaxed geometry.

As for the formation energy: -1.41 eV/atom. As for the space group: C2/m, No. 12. For the density of states at the Fermi level, the calculation gives 1.2947 states/eV per atom.

a = 4.139 Å, b = 8.265 Å, c = 9.237 Å
α = 102.70°, β = 102.95°, γ = 90.00°
Site moments in Bohr magnetons follow the coordinates.
Positions (direct):
Ce: 0.833 0.665 0.666  0.62
Ce: 0.167 0.335 0.334  0.62
Ho: 0.500 0.500 0.000  0.01
Ho: 0.832 0.167 0.664  0.01
Ho: 0.168 0.833 0.336  0.01
Pa: 0.500 0.000 0.000  0.35
As: 0.335 0.922 0.670  -0.01
As: 0.665 0.587 0.330  -0.01
As: 0.665 0.078 0.330  -0.01
As: 0.998 0.246 0.996  -0.01
As: 0.002 0.754 0.004  -0.01
As: 0.335 0.413 0.670  -0.01


The following is a DFT calculation (PBE-GGA) of crystalline Na6ReP4 at its relaxed geometry.

As for the formation energy: -0.34 eV/atom. As for the space group: P6_3mc, No. 186. For the density of states at the Fermi level, the calculation gives 0.4495 states/eV per atom.

a = 7.134 Å, b = 9.153 Å, c = 9.153 Å
α = 120.00°, β = 90.00°, γ = 90.00°
Site moments in Bohr magnetons follow the coordinates.
Positions (direct):
Na: 0.455 0.704 0.852  0.01
Na: 0.455 0.148 0.296  0.01
Na: 0.455 0.148 0.852  0.01
Na: 0.955 0.296 0.148  0.01
Na: 0.955 0.852 0.704  0.01
Na: 0.955 0.852 0.148  0.01
Na: 0.636 0.936 0.468  0.00
Na: 0.636 0.532 0.064  0.00
Na: 0.636 0.532 0.468  0.00
Na: 0.136 0.064 0.532  0.00
Na: 0.136 0.468 0.936  0.00
Na: 0.136 0.468 0.532  0.00
Re: 0.747 0.333 0.667  0.51
Re: 0.247 0.667 0.333  0.51
P: 0.426 0.333 0.667  0.00
P: 0.926 0.667 0.333  0.00
P: 0.849 0.608 0.804  0.01
P: 0.849 0.196 0.392  0.01
P: 0.849 0.196 0.804  0.01
P: 0.349 0.392 0.196  0.01
P: 0.349 0.804 0.608  0.01
P: 0.349 0.804 0.196  0.01


The following is a DFT calculation (PBE-GGA) of crystalline CaHfN at its relaxed geometry.

As for the raw formation energy: -45 kJ per mole of atoms. As for the space group: Amm2, No. 38. For the density of states at the Fermi level, the calculation gives 0.5466 states/eV per atom.

a = 3.274 Å, b = 3.274 Å, c = 11.976 Å
α = 90.00°, β = 90.00°, γ = 120.00°
Positions (direct):
N: 0.277 0.554 0.000
N: 0.612 0.224 0.500
Ca: 0.610 0.221 0.886
Ca: 0.610 0.221 0.114
Hf: 0.279 0.557 0.617
Hf: 0.279 0.557 0.383


The following is a DFT calculation (PBE-GGA) of crystalline KSiTc2 at its relaxed geometry.

As for the raw formation energy: 38 kJ per mole of atoms. As for the space group: Cm, No. 8. For the density of states at the Fermi level, the calculation gives 0.7972 states/eV per atom.

a = 4.356 Å, b = 4.356 Å, c = 7.275 Å
α = 85.97°, β = 85.97°, γ = 38.46°
Positions (direct):
K: 0.508 0.508 0.488
Si: 0.265 0.265 0.150
Tc: 0.990 0.990 0.002
Tc: 0.737 0.737 0.860


The following is a DFT calculation (PBE-GGA) of crystalline LiTbTmLu at its relaxed geometry.

As for the formation energy: 0.16 eV/atom. As for the space group: F-43m, No. 216. For the density of states at the Fermi level, the calculation gives 0.7763 states/eV per atom.

a = 5.403 Å, b = 5.403 Å, c = 5.403 Å
α = 60.00°, β = 60.00°, γ = 60.00°
Positions (direct):
Tb: 0.500 0.500 0.500
Lu: 0.250 0.250 0.250
Tm: 0.000 0.000 0.000
Li: 0.750 0.750 0.750


The following is a DFT calculation (PBE-GGA) of crystalline Mg2Ti2MnS6 at its relaxed geometry.

As for the raw formation energy: -115 kJ per mole of atoms. As for the space group: C2/m, No. 12. For the density of states at the Fermi level, the calculation gives 0.3123 states/eV per atom.

a = 6.185 Å, b = 6.185 Å, c = 6.372 Å
α = 98.70°, β = 98.70°, γ = 120.73°
Site moments in Bohr magnetons follow the coordinates.
Positions (direct):
Mg: 0.831 0.169 0.000  0.01
Mg: 0.169 0.831 0.000  0.01
Ti: 0.345 0.655 0.500  -0.69
Ti: 0.655 0.345 0.500  -0.69
Mn: 0.000 0.000 0.500  4.08
S: 0.746 0.746 0.745  0.04
S: 0.067 0.417 0.735  0.04
S: 0.254 0.254 0.255  0.04
S: 0.417 0.067 0.735  0.04
S: 0.933 0.583 0.265  0.04
S: 0.583 0.933 0.265  0.04


The following is a DFT calculation (PBE-GGA) of crystalline Dy2HoErS4 at its relaxed geometry.

As for the raw formation energy: -191 kJ per mole of atoms. As for the space group: P2/m, No. 10. For the density of states at the Fermi level, the calculation gives 0.5972 states/eV per atom.

a = 3.856 Å, b = 6.747 Å, c = 6.766 Å
α = 109.07°, β = 90.00°, γ = 90.00°
Positions (direct):
Dy: 0.500 0.000 0.500
Dy: 0.000 0.500 0.500
Ho: 0.000 0.000 0.000
Er: 0.500 0.500 0.000
S: 0.500 0.250 0.247
S: 0.500 0.750 0.753
S: 0.000 0.252 0.753
S: 0.000 0.748 0.247


The following is a DFT calculation (PBE-GGA) of crystalline URhPbS3 at its relaxed geometry.

As for the raw formation energy: -81 kJ per mole of atoms. As for the space group: P2_1/m, No. 11. For the density of states at the Fermi level, the calculation gives 0.8076 states/eV per atom.

a = 3.858 Å, b = 8.496 Å, c = 8.990 Å
α = 101.17°, β = 90.00°, γ = 90.00°
Site moments in Bohr magnetons follow the coordinates.
Positions (direct):
U: 0.250 0.664 0.156  1.55
U: 0.750 0.336 0.844  1.55
Rh: 0.250 0.103 0.598  -0.13
Rh: 0.750 0.897 0.402  -0.13
Pb: 0.250 0.135 0.290  0.00
Pb: 0.750 0.865 0.710  0.00
S: 0.750 0.868 0.120  -0.05
S: 0.250 0.132 0.880  -0.05
S: 0.250 0.749 0.446  -0.04
S: 0.750 0.251 0.554  -0.04
S: 0.750 0.441 0.151  -0.06
S: 0.250 0.559 0.849  -0.06


The following is a DFT calculation (PBE-GGA) of crystalline TiAlSe2 at its relaxed geometry.

As for the raw formation energy: -40 kJ per mole of atoms. As for the space group: I-42d, No. 122. For the density of states at the Fermi level, the calculation gives 0.7422 states/eV per atom.

a = 5.917 Å, b = 5.917 Å, c = 6.917 Å
α = 64.68°, β = 64.68°, γ = 90.00°
Positions (direct):
Al: 0.500 0.500 0.000
Al: 0.250 0.750 0.500
Se: 0.618 0.125 0.250
Se: 0.132 0.625 0.250
Se: 0.375 0.382 0.750
Se: 0.875 0.868 0.750
Ti: 0.000 0.000 0.000
Ti: 0.750 0.250 0.500